1.
Here is TlBiTePt2 after structural relaxation from the Alexandria database. Energies are from PBE.

## Properties
Fermi-level density of states ... 4.676 states/eV/f.u.
Crystal system ... tetragonal

Geometry as CIF:
```
data_TlBiTePt2
_chemical_formula_sum 'Tl1 Bi1 Te1 Pt2'
_space_group_name_H-M_alt 'P 4/m m m'
_space_group_IT_number 123
_space_group_name_Hall '-P 4 2'
_cell_length_a 5.007
_cell_length_b 5.007
_cell_length_c 6.075
_cell_angle_alpha 90.00
_cell_angle_beta 90.00
_cell_angle_gamma 90.00
loop_
_atom_site_label
_atom_site_fract_x
_atom_site_fract_y
_atom_site_fract_z
Tl1 0.000 0.000 0.000
Bi1 0.500 0.500 0.000
Te1 0.500 0.500 0.500
Pt1 0.000 0.500 0.500
```

---

2.
Here is BaTl2Pd4 after structural relaxation from the Alexandria database. Energies are from PBE.

## Properties
Fermi-level density of states ... 5.840 states/eV/f.u.
Energy relative to the elements ... -0.38 eV/atom
Relative energy among the computed polymorphs ... 0.0000 eV/atom
Crystal system ... tetragonal

Geometry as CIF:
```
data_BaTl2Pd4
_chemical_formula_sum 'Ba4 Tl8 Pd16'
_space_group_name_H-M_alt 'I 4/m c m'
_space_group_IT_number 140
_space_group_name_Hall '-I 4 2c'
_cell_length_a 8.496
_cell_length_b 8.496
_cell_length_c 8.652
_cell_angle_alpha 90.00
_cell_angle_beta 90.00
_cell_angle_gamma 90.00
loop_
_atom_site_label
_atom_site_fract_x
_atom_site_fract_y
_atom_site_fract_z
Ba1 0.000 0.000 0.250
Tl1 0.154 0.346 0.000
Pd1 0.143 0.357 0.336
```

---

3.
Here is Pr2NdNpAs4 after structural relaxation from the Alexandria database. Energies are from PBE.

## Properties
Fermi-level density of states ... 12.186 states/eV/f.u.
Energy relative to the elements ... -1.29 eV/atom
Crystal system ... monoclinic

Geometry as CIF:
```
data_Pr2NdNpAs4
_chemical_formula_sum 'Pr2 Nd1 Np1 As4'
_space_group_name_H-M_alt 'P 1 2/m 1'
_space_group_IT_number 10
_cell_length_a 7.356
_cell_length_b 4.242
_cell_length_c 7.358
_cell_angle_alpha 90.00
_cell_angle_beta 109.31
_cell_angle_gamma 90.00
loop_
_space_group_symop_operation_xyz
'x,y,z'
'-x,-y,-z'
'-x,y,-z'
'x,-y,z'
loop_
_atom_site_label
_atom_site_fract_x
_atom_site_fract_y
_atom_site_fract_z
Pr1 0.000 0.000 0.000
Pr2 0.500 0.500 0.000
Nd1 0.000 0.500 0.500
Np1 0.500 0.000 0.500
As1 0.255 0.000 0.742
As2 0.260 0.500 0.261
```

---

4.
Here is Ho5Al after structural relaxation from the Alexandria database. Energies are from PBE.

## Properties
Fermi-level density of states ... 7.049 states/eV/f.u.
Energy relative to the elements ... -0.10 eV/atom
Relative energy among the computed polymorphs ... 0.0084 eV/atom
Crystal system ... orthorhombic

Geometry as CIF:
```
data_Ho5Al
_chemical_formula_sum 'Ho10 Al2'
_space_group_name_H-M_alt 'C m m m'
_space_group_IT_number 65
_space_group_name_Hall '-C 2 2'
_cell_length_a 4.779
_cell_length_b 14.775
_cell_length_c 4.794
_cell_angle_alpha 90.00
_cell_angle_beta 90.00
_cell_angle_gamma 90.00
loop_
_atom_site_label
_atom_site_fract_x
_atom_site_fract_y
_atom_site_fract_z
Ho1 0.000 0.000 0.000
Ho2 0.000 0.160 0.500
Ho3 0.000 0.335 0.000
Al1 0.000 0.500 0.500
```

---

| no. | final energy (eV/atom) |
| --- | --- |
| 1 | -3.773 |
| 2 | -4.294 |
| 3 | -7.019 |
| 4 | -4.536 |